# GGA+U KV2CrO7, relaxed
data_KV2CrO7
_cell_length_a 8.3370
_cell_length_b 4.9381
_cell_length_c 6.9797
_cell_angle_alpha 90.00
_cell_angle_beta 101.63
_cell_angle_gamma 90.00
_symmetry_space_group_name_H-M 'P 1 2/c 1'
_symmetry_Int_Tables_number 13
loop_
_symmetry_equiv_pos_as_xyz
'x,y,z'
'-x,-y,-z'
'-x,y,-z+1/2'
'x,-y,z+1/2'
loop_
_atom_site_label
_atom_site_fract_x
_atom_site_fract_y
_atom_site_fract_z
_atom_site_occupancy
K1 0.0000 0.1007 0.2500 1
V1 0.3270 0.4976 0.1228 1
Cr1 0.5000 0.0000 0.0000 1
O1 0.1460 0.3689 0.6171 1
O2 0.2894 0.1778 0.0194 1
O3 0.3858 0.3418 0.3869 1
O4 0.5000 0.2154 0.7500 1
# Electronic total energy in eV/atom: -7.22
# Magnetization in μB per formula unit: 3.0
# N(E_F) in states/eV/atom: 0.00